No. 1
Below is a relaxed PmSmHgOs crystal, with properties calculated at the GGA-PBE level.

Results
**Mass density**: 11.924 g/cm3
**Calculated total energy**: -21.66 eV per formula unit

Lattice parameters (Å, degrees): 7.257 7.257 7.257 90.00 90.00 90.00
Space group F-43m (No. 216)
Asymmetric unit:
Pm 0.000 0.000 0.000 (multiplicity 4)
Sm 0.000 0.000 0.500 (multiplicity 4)
Hg 0.250 0.250 0.750 (multiplicity 4)
Os 0.250 0.250 0.250 (multiplicity 4)

No. 2
Below is a relaxed PmThHgOs crystal, with properties calculated at the GGA-PBE level.

Results
**Mass density**: 12.927 g/cm3
**Calculated total energy**: -24.30 eV per formula unit

Lattice parameters (Å, degrees): 7.334 7.334 7.334 90.00 90.00 90.00
Space group F-43m (No. 216)
Asymmetric unit:
Pm 0.000 0.000 0.000 (multiplicity 4)
Th 0.000 0.000 0.500 (multiplicity 4)
Hg 0.250 0.250 0.250 (multiplicity 4)
Os 0.250 0.250 0.750 (multiplicity 4)

No. 3
Below is a relaxed PmThHgOs crystal, with properties calculated at the GGA-PBE level.

Results
**Mass density**: 11.096 g/cm3
**Calculated total energy**: -24.75 eV per formula unit

Lattice parameters (Å, degrees): 4.1924 4.1924 22.6496 90.00 90.00 120.00
Space group R3m (No. 160, hexagonal axes)
Asymmetric unit:
Pm 0.0000 0.0000 0.0000 (multiplicity 3)
Th 0.0000 0.0000 0.2028 (multiplicity 3)
Hg 0.0000 0.0000 0.7655 (multiplicity 3)
Os 0.0000 0.0000 0.5978 (multiplicity 3)

No. 4
Below is a relaxed PmYHgOs crystal, with properties calculated at the GGA-PBE level.

Results
**Mass density**: 11.148 g/cm3
**Calculated total energy**: -23.54 eV per formula unit

Lattice parameters (Å, degrees): 7.193 7.193 7.193 90.00 90.00 90.00
Space group F-43m (No. 216)
Asymmetric unit:
Pm 0.000 0.000 0.000 (multiplicity 4)
Y 0.000 0.000 0.500 (multiplicity 4)
Hg 0.250 0.250 0.250 (multiplicity 4)
Os 0.250 0.250 0.750 (multiplicity 4)

No. 5
Below is a relaxed Pr3HgOs crystal, with properties calculated at the GGA-PBE level.

Results
**Mass density**: 9.570 g/cm3
**Calculated total energy**: -26.99 eV per formula unit

Lattice parameters (Å, degrees): 6.736 10.285 16.300 90.00 90.00 90.00
Space group Fmmm (No. 69)
Asymmetric unit:
Pr 0.000 0.000 0.199 (multiplicity 8)
Pr 0.000 0.190 0.390 (multiplicity 16)
Hg 0.211 0.000 0.000 (multiplicity 8)
Os 0.250 0.250 0.250 (multiplicity 8)

No. 6
Below is a relaxed Pr12Hg6Os crystal, with properties calculated at the GGA-PBE level.

Results
**Mass density**: 8.262 g/cm3
**Calculated total energy**: -74.38 eV per formula unit

Lattice parameters (Å, degrees): 12.5061 12.5061 13.7313 90.00 90.00 120.00
Space group R-3 (No. 148, hexagonal axes)
Asymmetric unit:
Pr 0.0386 0.1907 0.3891 (multiplicity 18)
Pr 0.0403 0.8465 0.8764 (multiplicity 18)
Hg 0.0062 0.4022 0.2573 (multiplicity 18)
Os 0.0000 0.0000 0.0000 (multiplicity 3)

Which formula does entry 2 have? PmThHgOs